(1)
Material: Ba3Cd7Pd2
Method: DFT, PBE
State: relaxed

abc: 6.328 6.328 10.203
angles: 71.94 71.94 60.00
Atoms (fractional coordinates):
1 Ba 0.149 0.149 0.553
2 Ba 0.851 0.851 0.447
3 Ba 0.000 0.000 0.000
4 Cd 0.500 0.500 0.500
5 Cd 0.572 0.081 0.775
6 Cd 0.572 0.572 0.775
7 Cd 0.081 0.572 0.775
8 Cd 0.919 0.428 0.225
9 Cd 0.428 0.428 0.225
10 Cd 0.428 0.919 0.225
11 Pd 0.668 0.668 0.996
12 Pd 0.332 0.332 0.004

Calculated values
**ΔH_f (0 K)**: -0.35 eV per atom

=====

(2)
Material: RbNaIrO4
Method: DFT, PBE
State: relaxed

abc: 6.306 6.306 5.960
angles: 121.94 121.94 90.00
Atoms (fractional coordinates):
1 Na 0.500 0.500 0.000
2 O 0.475 0.604 0.667
3 O 0.937 0.525 0.333
4 O 0.192 0.063 0.667
5 O 0.396 0.808 0.333
6 Ir 0.250 0.750 0.500
7 Rb 0.000 0.000 0.000

Calculated values
**ΔE_f (raw)**: -689 kJ/mol of formula units

=====

(3)
Material: Cs5Rb2Au6
Method: DFT, PBE
State: relaxed

abc: 5.101 14.288 17.354
angles: 90.00 90.00 90.00
Atoms (fractional coordinates):
1 Au 0.500 0.830 0.347
2 Au 0.000 0.853 0.611
3 Au 0.000 0.353 0.889
4 Au 0.000 0.647 0.111
5 Au 0.000 0.509 0.416
6 Au 0.000 0.491 0.584
7 Au 0.000 0.147 0.389
8 Au 0.500 0.330 0.153
9 Au 0.500 0.170 0.653
10 Au 0.000 0.991 0.916
11 Au 0.500 0.670 0.847
12 Au 0.000 0.009 0.084
13 Cs 0.500 0.831 0.010
14 Cs 0.500 0.914 0.762
15 Cs 0.500 0.414 0.738
16 Cs 0.500 0.586 0.262
17 Cs 0.500 0.500 0.000
18 Cs 0.500 0.669 0.510
19 Cs 0.500 0.169 0.990
20 Cs 0.500 0.331 0.490
21 Cs 0.500 0.000 0.500
22 Cs 0.500 0.086 0.238
23 Rb 0.000 0.341 0.274
24 Rb 0.000 0.159 0.774
25 Rb 0.000 0.659 0.726
26 Rb 0.000 0.841 0.226

Calculated values
**ΔH_f (0 K)**: -0.27 eV per atom

=====

(4)
Material: DyMg8Ag4
Method: DFT, PBE
State: relaxed

abc: 5.653 7.501 7.501
angles: 81.84 67.86 67.86
Atoms (fractional coordinates):
1 Ag 0.000 0.000 0.500
2 Ag 0.000 0.500 0.000
3 Ag 0.500 0.000 0.500
4 Ag 0.500 0.500 0.000
5 Mg 0.658 0.342 0.342
6 Mg 0.500 0.213 0.787
7 Mg 0.713 0.787 0.787
8 Mg 0.000 0.342 0.658
9 Mg 0.500 0.787 0.213
10 Mg 0.287 0.213 0.213
11 Mg 0.000 0.658 0.342
12 Mg 0.342 0.658 0.658
13 Dy 0.000 0.000 0.000

Calculated values
**ΔH_f (0 K)**: -0.18 eV per atom

=====

(5)
Material: CaAcHgIr
Method: DFT, PBE
State: relaxed

abc: 5.294 5.294 5.294
angles: 60.00 60.00 60.00
Atoms (fractional coordinates):
1 Ir 0.000 0.000 0.000
2 Ac 0.750 0.750 0.750
3 Ca 0.250 0.250 0.250
4 Hg 0.500 0.500 0.500

Calculated values
**ΔH_f (0 K)**: -0.38 eV per atom

=====

(6)
Material: Ho3Mg5Ir2
Method: DFT, PBE
State: relaxed

abc: 6.081 9.306 9.306
angles: 80.78 70.93 70.93
Atoms (fractional coordinates):
1 Ir 0.848 0.279 0.025
2 Ir 0.348 0.025 0.279
3 Ir 0.152 0.721 0.975
4 Ir 0.652 0.975 0.721
5 Mg 0.927 0.391 0.756
6 Mg 0.427 0.756 0.391
7 Mg 0.021 0.729 0.729
8 Mg 0.979 0.271 0.271
9 Mg 0.521 0.729 0.729
10 Mg 0.750 0.500 0.500
11 Mg 0.250 0.500 0.500
12 Mg 0.573 0.244 0.609
13 Mg 0.479 0.271 0.271
14 Mg 0.073 0.609 0.244
15 Ho 0.329 0.409 0.932
16 Ho 0.171 0.068 0.591
17 Ho 0.750 0.000 0.000
18 Ho 0.671 0.591 0.068
19 Ho 0.250 0.000 0.000
20 Ho 0.829 0.932 0.409

Calculated values
**ΔH_f (0 K)**: -0.25 eV per atom

=====

(7)
Material: PrTiSbO6
Method: DFT, PBE
State: relaxed

abc: 5.268 5.268 10.307
angles: 90.00 90.00 120.00
Atoms (fractional coordinates):
1 O 0.003 0.373 0.143
2 O 0.373 0.369 0.857
3 O 0.997 0.369 0.643
4 O 0.627 0.997 0.357
5 O 0.631 0.003 0.857
6 O 0.369 0.997 0.143
7 O 0.369 0.373 0.357
8 O 0.373 0.003 0.643
9 O 0.997 0.627 0.857
10 O 0.631 0.627 0.643
11 O 0.003 0.631 0.357
12 O 0.627 0.631 0.143
13 Pr 0.000 0.000 0.500
14 Pr 0.000 0.000 0.000
15 Ti 0.333 0.667 0.250
16 Ti 0.667 0.333 0.750
17 Sb 0.333 0.667 0.750
18 Sb 0.667 0.333 0.250

Calculated values
**ΔE_f (raw)**: -2228 kJ/mol of formula units

=====

(8)
Material: Ac4CdGe3
Method: DFT, PBE
State: relaxed

abc: 4.750 4.399 12.055
angles: 90.00 90.00 90.00
Atoms (fractional coordinates):
1 Ge 0.000 0.000 0.431
2 Ge 0.000 0.500 0.574
3 Ge 0.500 0.000 0.919
4 Ac 0.000 0.500 0.856
5 Ac 0.000 0.000 0.147
6 Ac 0.500 0.500 0.366
7 Ac 0.500 0.000 0.638
8 Cd 0.500 0.500 0.069

Calculated values
**ΔH_f (0 K)**: -0.59 eV per atom

=====

(9)
Material: LaTaFeAs2
Method: DFT, PBE
State: relaxed

abc: 4.707 4.677 4.707
angles: 90.00 90.00 90.00
Atoms (fractional coordinates):
1 Ta 0.500 0.500 0.500
2 La 0.000 0.500 0.000
3 Fe 0.000 0.000 0.000
4 As 0.500 0.000 0.000
5 As 0.000 0.000 0.500

Calculated values
**ΔH_f (0 K)**: 0.49 eV per atom

=====

(10)
Material: In5Au
Method: DFT, PBE
State: relaxed

abc: 8.817 8.817 5.154
angles: 90.00 90.00 157.51
Atoms (fractional coordinates):
1 Au 0.993 0.007 0.000
2 In 0.345 0.655 0.000
3 In 0.783 0.217 0.500
4 In 0.458 0.542 0.500
5 In 0.114 0.886 0.500
6 In 0.640 0.360 0.000

Calculated values
**ΔH_f (0 K)**: -0.02 eV per atom

=====

(11)
Material: Mn2FeCo
Method: DFT, PBE
State: relaxed

abc: 2.817 2.817 5.763
angles: 90.00 90.00 90.00
Atoms (fractional coordinates):
1 Co 0.000 0.000 0.505
2 Fe 0.500 0.500 0.748
3 Mn 0.500 0.500 0.246
4 Mn 0.000 0.000 0.001

Calculated values
**ΔH_f (0 K)**: 0.06 eV per atom

=====

(12)
Material: CuAs5
Method: DFT, PBE
State: relaxed

abc: 8.745 8.745 3.812
angles: 90.00 90.00 156.33
Atoms (fractional coordinates):
1 As 0.472 0.528 0.500
2 As 0.357 0.643 0.000
3 As 0.775 0.225 0.500
4 As 0.588 0.412 0.000
5 As 0.169 0.831 0.500
6 Cu 0.972 0.028 0.000

Calculated values
**ΔH_f (0 K)**: 0.29 eV per atom